## InBRh (PBE-GGA)

Data for a relaxed InBRh crystal.

The structure belongs to space group P2_1/m (No. 11); the cell edges are 4.3406, 3.6801 and 5.8874 Å and the angles 90.00°, 110.15° and 90.00°. Symmetry generates all atoms from In at (0.2147, 0.2500, 0.4159), B at (0.1885, 0.2500, 0.8477) and Rh at (0.2796, 0.7500, 0.0533).

Its total energy is -5.5683 eV/atom. Its theoretical density is 8.60 g/cm³. The formation energy is 0.021 eV per atom.

***

## InBRh3 (PBE-GGA)

Data for a relaxed InBRh3 crystal.

The structure belongs to space group P-1 (No. 2); the cell edges are 3.9397, 4.1270 and 8.7444 Å and the angles 96.61°, 96.92° and 90.10°. Symmetry generates all atoms from In at (0.0393, 0.2852, 0.1337), B at (0.3721, 0.1533, 0.5526), Rh at (0.0933, 0.8481, 0.3556), Rh at (0.4039, 0.6544, 0.6403) and Rh at (0.4671, 0.2226, 0.8888).

Its total energy is -6.5984 eV/atom. Its theoretical density is 10.29 g/cm³. The formation energy is -0.304 eV per atom.

***

## InB6Rh12 (PBE-GGA)

Data for a relaxed InB6Rh12 crystal.

The structure belongs to space group R-3m (No. 166, hexagonal axes); the cell edges are 10.3192, 10.3192 and 7.9082 Å and the angles 90.00°, 90.00° and 120.00°. Symmetry generates all atoms from In at (0.0000, 0.0000, 0.0000), B at (0.0436, 0.5218, 0.2816), Rh at (0.0000, 0.3661, 0.5000) and Rh at (0.0875, 0.1750, 0.3584).

Its total energy is -7.0801 eV/atom. Its theoretical density is 9.66 g/cm³. The formation energy is -0.184 eV per atom.

***

## In3BRh6 (PBE-GGA)

Data for a relaxed In3BRh6 crystal.

The structure belongs to space group C2/m (No. 12); the cell edges are 9.5621, 5.5776 and 6.8996 Å and the angles 90.00°, 114.45° and 90.00°. Symmetry generates all atoms from In at (0.0000, 0.0000, 0.0000), In at (0.2343, 0.0000, 0.7863), B at (0.0000, 0.5000, 0.5000), Rh at (0.0963, 0.2364, 0.3844) and Rh at (0.1969, 0.5000, 0.7868).

Its total energy is -6.0690 eV/atom. Its theoretical density is 9.64 g/cm³. The formation energy is -0.169 eV per atom.

***

## InBRh3 (PBE-GGA)

Data for a relaxed InBRh3 crystal.

The structure belongs to space group C2/m (No. 12); the cell edges are 14.5995, 2.9032 and 6.9361 Å and the angles 90.00°, 98.34° and 90.00°. Symmetry generates all atoms from In at (0.1140, 0.0000, 0.0661), B at (0.0671, 0.5000, 0.4907), Rh at (0.0251, 0.0000, 0.6972), Rh at (0.1680, 0.0000, 0.4559) and Rh at (0.2019, 0.5000, 0.8069).

Its total energy is -6.4479 eV/atom. Its theoretical density is 9.92 g/cm³. The formation energy is -0.154 eV per atom.

***

## InBRh3 (PBE-GGA)

Data for a relaxed InBRh3 crystal.

The structure belongs to space group Pnma (No. 62); the cell edges are 5.1860, 7.2073 and 7.9672 Å and the angles 90.00°, 90.00° and 90.00°. Symmetry generates all atoms from In at (0.0000, 0.0000, 0.0000), B at (0.0452, 0.2500, 0.4571), Rh at (0.0122, 0.5676, 0.3409) and Rh at (0.2332, 0.2500, 0.2199).

Its total energy is -6.3962 eV/atom. Its theoretical density is 9.69 g/cm³. The formation energy is -0.102 eV per atom.

***

## InBRh3 (PBE-GGA)

Data for a relaxed InBRh3 crystal.

The structure belongs to space group P-1 (No. 2); the cell edges are 3.1546, 4.7984 and 9.4426 Å and the angles 90.01°, 99.54° and 90.05°. Symmetry generates all atoms from In at (0.0624, 0.2451, 0.1251), B at (0.2504, 0.2543, 0.5013), Rh at (0.1842, 0.6087, 0.3677), Rh at (0.3173, 0.8955, 0.6344) and Rh at (0.4412, 0.2524, 0.8813).

Its total energy is -6.5926 eV/atom. Its theoretical density is 10.23 g/cm³. The formation energy is -0.299 eV per atom.

***

## InBRuRh2 (PBE-GGA)

Data for a relaxed InBRuRh2 crystal.

The structure belongs to space group P4/mmm (No. 123); the cell edges are 4.1287, 4.1287 and 4.1771 Å and the angles 90.00°, 90.00° and 90.00°. Symmetry generates all atoms from In at (0.0000, 0.0000, 0.0000), B at (0.5000, 0.5000, 0.5000), Ru at (0.5000, 0.5000, 0.0000) and Rh at (0.0000, 0.5000, 0.5000).

Its total energy is -6.9254 eV/atom. Its theoretical density is 10.09 g/cm³. The formation energy is -0.246 eV per atom.

***

> The lowest theoretical density belongs to which entry?

InBRh

***

> What is the formula in the sixth record?

InBRh3